Record 1
The following is a DFT calculation (PBE) of an optimized crystal structure of FePbW2.

Properties
Energy relative to the elements   0.76 eV/atom
VASP energy   -35.03 eV per formula unit
DOS(E_F)   0.855 states/eV/atom

Unit cell a=9.7161 b=3.4151 c=4.5685 alpha=90.00 beta=117.83 gamma=90.00
Space group Cm (No. 8)
Symmetry-distinct sites (fractional):
Fe 0.0000 0.0000 0.0000 [2 per cell]
Pb 0.2542 0.0000 0.7555 [2 per cell]
W 0.2375 0.5000 0.2389 [2 per cell]
W 0.4823 0.0000 0.4822 [2 per cell]

Record 2
The following is a DFT calculation (PBE) of an optimized crystal structure of FePb2W.

Properties
E above lowest polymorph   0.371 eV/atom
Energy relative to the elements   0.80 eV/atom
VASP energy   -25.62 eV per formula unit
DOS(E_F)   0.808 states/eV/atom

Unit cell a=3.1832 b=4.6654 c=11.8238 alpha=90.00 beta=90.00 gamma=90.00
Space group Imm2 (No. 44)
Symmetry-distinct sites (fractional):
Fe 0.0000 0.0000 0.0000 [2 per cell]
Pb 0.0000 0.0000 0.5307 [2 per cell]
Pb 0.0000 0.5000 0.7510 [2 per cell]
W 0.0000 0.5000 0.3582 [2 per cell]

Record 3
The following is a DFT calculation (PBE) of an optimized crystal structure of FePbW2.

Properties
Energy relative to the elements   0.95 eV/atom
VASP energy   -34.29 eV per formula unit
DOS(E_F)   0.818 states/eV/atom

Unit cell a=5.4453 b=8.2265 c=3.0371 alpha=90.00 beta=90.00 gamma=90.00
Space group Cmmm (No. 65)
Symmetry-distinct sites (fractional):
Fe 0.0000 0.0000 0.0000 [2 per cell]
Pb 0.0000 0.5000 0.0000 [2 per cell]
W 0.2500 0.2500 0.5000 [4 per cell]

Record 4
The following is a DFT calculation (PBE) of an optimized crystal structure of FePbW2.

Properties
Energy relative to the elements   0.76 eV/atom
VASP energy   -35.05 eV per formula unit
DOS(E_F)   0.821 states/eV/atom

Unit cell a=3.2657 b=3.2657 c=6.7471 alpha=90.00 beta=90.00 gamma=90.00
Space group P4/mmm (No. 123)
Symmetry-distinct sites (fractional):
Fe 0.0000 0.0000 0.0000 [1 per cell]
Pb 0.0000 0.0000 0.5000 [1 per cell]
W 0.5000 0.5000 0.1806 [2 per cell]

Record 5
The following is a DFT calculation (PBE) of an optimized crystal structure of FePbW2.

Properties
Energy relative to the elements   0.68 eV/atom
VASP energy   -35.34 eV per formula unit
DOS(E_F)   0.654 states/eV/atom

Unit cell a=3.2866 b=4.3623 c=9.2524 alpha=90.00 beta=90.00 gamma=90.00
Space group Immm (No. 71)
Symmetry-distinct sites (fractional):
Fe 0.0000 0.0000 0.0000 [2 per cell]
Pb 0.0000 0.0000 0.5000 [2 per cell]
W 0.0000 0.5000 0.2627 [4 per cell]

Record 6
The following is a DFT calculation (PBE) of an optimized crystal structure of FePb2W.

Properties
E above lowest polymorph   0.600 eV/atom
Energy relative to the elements   1.03 eV/atom
VASP energy   -24.70 eV per formula unit
DOS(E_F)   1.119 states/eV/atom

Unit cell a=3.5462 b=5.1022 c=9.0100 alpha=90.00 beta=90.00 gamma=90.00
Space group Cmmm (No. 65)
Symmetry-distinct sites (fractional):
Fe 0.0000 0.0000 0.0000 [2 per cell]
Pb 0.0000 0.5000 0.2408 [4 per cell]
W 0.0000 0.0000 0.5000 [2 per cell]

Record 7
The following is a DFT calculation (PBE) of an optimized crystal structure of Fe4PbW.

Properties
Energy relative to the elements   0.37 eV/atom
VASP energy   -48.30 eV per formula unit
DOS(E_F)   0.964 states/eV/atom

Unit cell a=6.9259 b=6.9259 c=6.9259 alpha=90.00 beta=90.00 gamma=90.00
Space group F-43m (No. 216)
Symmetry-distinct sites (fractional):
Fe 0.1233 0.1233 0.1233 [16 per cell]
Pb 0.0000 0.0000 0.5000 [4 per cell]
W 0.2500 0.2500 0.7500 [4 per cell]

Record 8
The following is a DFT calculation (PBE) of an optimized crystal structure of ZnFePb2W.

Properties
Energy relative to the elements   1.10 eV/atom
VASP energy   -24.60 eV per formula unit
DOS(E_F)   1.091 states/eV/atom

Unit cell a=5.4661 b=5.4661 c=4.6168 alpha=90.00 beta=90.00 gamma=90.00
Space group P4/mmm (No. 123)
Symmetry-distinct sites (fractional):
Zn 0.0000 0.0000 0.0000 [1 per cell]
Fe 0.5000 0.5000 0.0000 [1 per cell]
Pb 0.0000 0.5000 0.5000 [2 per cell]
W 0.5000 0.5000 0.5000 [1 per cell]

Record 9
The following is a DFT calculation (PBE) of an optimized crystal structure of YFePb.

Properties
Energy relative to the elements   0.02 eV/atom
VASP energy   -18.59 eV per formula unit
DOS(E_F)   1.788 states/eV/atom

Unit cell a=4.6660 b=4.6660 c=3.6037 alpha=90.00 beta=90.00 gamma=120.00
Space group P-6m2 (No. 187)
Symmetry-distinct sites (fractional):
Y 0.0000 0.0000 0.0000 [1 per cell]
Fe 0.3333 0.6667 0.5000 [1 per cell]
Pb 0.6667 0.3333 0.5000 [1 per cell]

Record 10
The following is a DFT calculation (PBE) of an optimized crystal structure of YFePb2.

Properties
E above lowest polymorph   0.048 eV/atom
Energy relative to the elements   0.11 eV/atom
VASP energy   -21.88 eV per formula unit
DOS(E_F)   1.206 states/eV/atom

Unit cell a=4.4090 b=4.4090 c=10.0245 alpha=90.00 beta=90.00 gamma=90.00
Space group I-4m2 (No. 119)
Symmetry-distinct sites (fractional):
Y 0.0000 0.0000 0.0000 [2 per cell]
Fe 0.0000 0.5000 0.7500 [2 per cell]
Pb 0.0000 0.0000 0.5000 [2 per cell]
Pb 0.0000 0.5000 0.2500 [2 per cell]

Record 11
The following is a DFT calculation (PBE) of an optimized crystal structure of YFePb2.

Properties
E above lowest polymorph   0.051 eV/atom
Energy relative to the elements   0.12 eV/atom
VASP energy   -21.87 eV per formula unit
DOS(E_F)   1.024 states/eV/atom

Unit cell a=3.5425 b=3.5425 c=8.0056 alpha=90.00 beta=90.00 gamma=90.00
Space group P4mm (No. 99)
Symmetry-distinct sites (fractional):
Y 0.0000 0.0000 0.0000 [1 per cell]
Fe 0.5000 0.5000 0.2099 [1 per cell]
Pb 0.0000 0.0000 0.3998 [1 per cell]
Pb 0.5000 0.5000 0.7111 [1 per cell]

Record 12
The following is a DFT calculation (PBE) of an optimized crystal structure of Y2FePb2.

Properties
E above lowest polymorph   0.000 eV/atom
Energy relative to the elements   -0.04 eV/atom
VASP energy   -29.00 eV per formula unit
DOS(E_F)   1.167 states/eV/atom

Unit cell a=7.2388 b=7.2388 c=4.7351 alpha=90.00 beta=90.00 gamma=90.00
Space group P4/mbm (No. 127)
Symmetry-distinct sites (fractional):
Y 0.1690 0.3310 0.0000 [4 per cell]
Fe 0.0000 0.0000 0.5000 [2 per cell]
Pb 0.1484 0.6484 0.5000 [4 per cell]

Record 13
The following is a DFT calculation (PBE) of an optimized crystal structure of Y6Fe2Pb.

Properties
Energy relative to the elements   -0.18 eV/atom
VASP energy   -61.08 eV per formula unit
DOS(E_F)   0.947 states/eV/atom

Unit cell a=9.6249 b=9.7455 c=10.0870 alpha=90.00 beta=90.00 gamma=90.00
Space group Immm (No. 71)
Symmetry-distinct sites (fractional):
Y 0.0000 0.2180 0.2293 [8 per cell]
Y 0.2004 0.5000 0.1879 [8 per cell]
Y 0.2113 0.3123 0.5000 [8 per cell]
Fe 0.0000 0.3893 0.0000 [4 per cell]
Fe 0.0000 0.5000 0.3932 [4 per cell]
Pb 0.0000 0.0000 0.0000 [2 per cell]
Pb 0.0000 0.0000 0.5000 [2 per cell]

Record 14
The following is a DFT calculation (PBE) of an optimized crystal structure of YFePb2.

Properties
E above lowest polymorph   0.446 eV/atom
Energy relative to the elements   0.51 eV/atom
VASP energy   -20.30 eV per formula unit
DOS(E_F)   2.304 states/eV/atom

Unit cell a=4.4252 b=4.4252 c=20.9621 alpha=90.00 beta=90.00 gamma=90.00
Space group I-42d (No. 122)
Symmetry-distinct sites (fractional):
Y 0.0000 0.0000 0.0000 [4 per cell]
Fe 0.0000 0.0000 0.5000 [4 per cell]
Pb 0.2296 0.2500 0.6250 [8 per cell]

Record 15
The following is a DFT calculation (PBE) of an optimized crystal structure of YFePb.

Properties
Energy relative to the elements   0.08 eV/atom
VASP energy   -18.39 eV per formula unit
DOS(E_F)   1.241 states/eV/atom

Unit cell a=3.4894 b=3.4894 c=11.0910 alpha=90.00 beta=90.00 gamma=90.00
Space group I4mm (No. 107)
Symmetry-distinct sites (fractional):
Y 0.0000 0.0000 0.0000 [2 per cell]
Fe 0.0000 0.0000 0.3428 [2 per cell]
Pb 0.0000 0.0000 0.7101 [2 per cell]

Record 16
The following is a DFT calculation (PBE) of an optimized crystal structure of YFePb2.

Properties
E above lowest polymorph   0.235 eV/atom
Energy relative to the elements   0.30 eV/atom
VASP energy   -21.14 eV per formula unit
DOS(E_F)   1.190 states/eV/atom

Unit cell a=7.1228 b=7.1228 c=7.1228 alpha=90.00 beta=90.00 gamma=90.00
Space group Fm-3m (No. 225)
Symmetry-distinct sites (fractional):
Y 0.0000 0.0000 0.0000 [4 per cell]
Fe 0.0000 0.0000 0.5000 [4 per cell]
Pb 0.2500 0.2500 0.2500 [8 per cell]

Record 17
The following is a DFT calculation (PBE) of an optimized crystal structure of YFePb.

Properties
Energy relative to the elements   0.09 eV/atom
VASP energy   -18.36 eV per formula unit
DOS(E_F)   2.284 states/eV/atom

Unit cell a=6.6382 b=6.6382 c=6.6382 alpha=90.00 beta=90.00 gamma=90.00
Space group F-43m (No. 216)
Symmetry-distinct sites (fractional):
Y 0.0000 0.0000 0.0000 [4 per cell]
Fe 0.2500 0.2500 0.2500 [4 per cell]
Pb 0.0000 0.0000 0.5000 [4 per cell]

Record 18
The following is a DFT calculation (PBE) of an optimized crystal structure of Y2FePb2.

Properties
E above lowest polymorph   0.437 eV/atom
Energy relative to the elements   0.40 eV/atom
VASP energy   -26.82 eV per formula unit
DOS(E_F)   1.579 states/eV/atom

Unit cell a=4.2022 b=4.2022 c=16.8002 alpha=90.00 beta=90.00 gamma=90.00
Space group I4/mmm (No. 139)
Symmetry-distinct sites (fractional):
Y 0.0000 0.0000 0.0948 [4 per cell]
Fe 0.0000 0.0000 0.5000 [2 per cell]
Pb 0.0000 0.5000 0.2500 [4 per cell]

Record 19
The following is a DFT calculation (PBE) of an optimized crystal structure of Y4FePb.

Properties
E above lowest polymorph   0.799 eV/atom
Energy relative to the elements   0.58 eV/atom
VASP energy   -34.55 eV per formula unit
DOS(E_F)   1.175 states/eV/atom

Unit cell a=8.8514 b=8.8514 c=8.8514 alpha=90.00 beta=90.00 gamma=90.00
Space group F-43m (No. 216)
Symmetry-distinct sites (fractional):
Y 0.1249 0.1249 0.1249 [16 per cell]
Fe 0.2500 0.2500 0.7500 [4 per cell]
Pb 0.0000 0.0000 0.5000 [4 per cell]

Record 20
The following is a DFT calculation (PBE) of an optimized crystal structure of YFePb.

Properties
Energy relative to the elements   0.69 eV/atom
VASP energy   -16.58 eV per formula unit
DOS(E_F)   3.024 states/eV/atom

Unit cell a=6.9834 b=6.9834 c=6.9834 alpha=90.00 beta=90.00 gamma=90.00
Space group F-43m (No. 216)
Symmetry-distinct sites (fractional):
Y 0.0000 0.0000 0.0000 [4 per cell]
Fe 0.2500 0.2500 0.2500 [4 per cell]
Pb 0.2500 0.2500 0.7500 [4 per cell]

Record 21
The following is a DFT calculation (PBE) of an optimized crystal structure of YFePb2.

Properties
E above lowest polymorph   0.094 eV/atom
Energy relative to the elements   0.16 eV/atom
VASP energy   -21.70 eV per formula unit
DOS(E_F)   1.007 states/eV/atom

Unit cell a=3.7233 b=4.3146 c=12.8089 alpha=90.00 beta=90.00 gamma=90.00
Space group Amm2 (No. 38)
Symmetry-distinct sites (fractional):
Y 0.0000 0.0000 0.0000 [2 per cell]
Fe 0.5000 0.0000 0.4445 [2 per cell]
Pb 0.0000 0.0000 0.2848 [2 per cell]
Pb 0.5000 0.0000 0.6534 [2 per cell]

Record 22
The following is a DFT calculation (PBE) of an optimized crystal structure of YFePb2.

Properties
E above lowest polymorph   0.039 eV/atom
Energy relative to the elements   0.10 eV/atom
VASP energy   -21.92 eV per formula unit
DOS(E_F)   0.842 states/eV/atom

Unit cell a=3.5508 b=4.5735 c=6.1692 alpha=90.00 beta=99.26 gamma=90.00
Space group P2/m (No. 10)
Symmetry-distinct sites (fractional):
Y 0.0000 0.0000 0.0000 [1 per cell]
Fe 0.5000 0.0000 0.5000 [1 per cell]
Pb 0.3474 0.5000 0.7310 [2 per cell]

Record 23
The following is a DFT calculation (PBE) of an optimized crystal structure of YFePb2.

Properties
E above lowest polymorph   0.221 eV/atom
Energy relative to the elements   0.29 eV/atom
VASP energy   -21.19 eV per formula unit
DOS(E_F)   1.426 states/eV/atom

Unit cell a=7.3989 b=7.3989 c=7.3989 alpha=90.00 beta=90.00 gamma=90.00
Space group F-43m (No. 216)
Symmetry-distinct sites (fractional):
Y 0.0000 0.0000 0.0000 [4 per cell]
Fe 0.2500 0.2500 0.7500 [4 per cell]
Pb 0.0000 0.0000 0.5000 [4 per cell]
Pb 0.2500 0.2500 0.2500 [4 per cell]

Record 24
The following is a DFT calculation (PBE) of an optimized crystal structure of Y3FePb.

Properties
E above lowest polymorph   0.000 eV/atom
Energy relative to the elements   -0.10 eV/atom
VASP energy   -32.07 eV per formula unit
DOS(E_F)   0.792 states/eV/atom

Unit cell a=5.1547 b=5.1547 c=5.1547 alpha=90.00 beta=90.00 gamma=90.00
Space group Pm-3m (No. 221)
Symmetry-distinct sites (fractional):
Y 0.0000 0.0000 0.5000 [3 per cell]
Fe 0.0000 0.0000 0.0000 [1 per cell]
Pb 0.5000 0.5000 0.5000 [1 per cell]

Record 25
The following is a DFT calculation (PBE) of an optimized crystal structure of YFePb2.

Properties
E above lowest polymorph   0.095 eV/atom
Energy relative to the elements   0.16 eV/atom
VASP energy   -21.70 eV per formula unit
DOS(E_F)   1.242 states/eV/atom

Unit cell a=3.4895 b=3.4895 c=7.7285 alpha=90.00 beta=90.00 gamma=90.00
Space group P4/mmm (No. 123)
Symmetry-distinct sites (fractional):
Y 0.0000 0.0000 0.0000 [1 per cell]
Fe 0.0000 0.0000 0.5000 [1 per cell]
Pb 0.5000 0.5000 0.2907 [2 per cell]

Record 26
The following is a DFT calculation (PBE) of an optimized crystal structure of YFePb2.

Properties
E above lowest polymorph   0.009 eV/atom
Energy relative to the elements   0.08 eV/atom
VASP energy   -22.04 eV per formula unit
DOS(E_F)   1.186 states/eV/atom

Unit cell a=4.5820 b=4.5820 c=15.9757 alpha=90.00 beta=90.00 gamma=120.00
Space group R-3m (No. 166, hexagonal axes)
Symmetry-distinct sites (fractional):
Y 0.0000 0.0000 0.0000 [3 per cell]
Fe 0.0000 0.0000 0.5000 [3 per cell]
Pb 0.0000 0.0000 0.2294 [6 per cell]

Record 27
The following is a DFT calculation (PBE) of an optimized crystal structure of Y4FePb.

Properties
E above lowest polymorph   0.000 eV/atom
Energy relative to the elements   -0.22 eV/atom
VASP energy   -39.35 eV per formula unit
DOS(E_F)   1.002 states/eV/atom

Unit cell a=8.8095 b=13.2782 c=6.0636 alpha=90.00 beta=109.74 gamma=90.00
Space group C2/c (No. 15)
Symmetry-distinct sites (fractional):
Y 0.1068 0.1612 0.0520 [8 per cell]
Y 0.2224 0.4274 0.3712 [8 per cell]
Fe 0.0000 0.9998 0.2500 [4 per cell]
Pb 0.0000 0.3704 0.7500 [4 per cell]

Record 28
The following is a DFT calculation (PBE) of an optimized crystal structure of YFePb2.

Properties
E above lowest polymorph   0.046 eV/atom
Energy relative to the elements   0.11 eV/atom
VASP energy   -21.90 eV per formula unit
DOS(E_F)   0.878 states/eV/atom

Unit cell a=3.5818 b=5.6225 c=9.6856 alpha=90.00 beta=90.00 gamma=90.00
Space group Immm (No. 71)
Symmetry-distinct sites (fractional):
Y 0.0000 0.0000 0.0000 [2 per cell]
Fe 0.0000 0.0000 0.5000 [2 per cell]
Pb 0.0000 0.5000 0.2157 [4 per cell]

Record 29
The following is a DFT calculation (PBE) of an optimized crystal structure of YFe3Pb.

Properties
E above lowest polymorph   0.000 eV/atom
Energy relative to the elements   1.11 eV/atom
VASP energy   -30.00 eV per formula unit
DOS(E_F)   1.676 states/eV/atom

Unit cell a=4.8842 b=4.8842 c=4.8842 alpha=90.00 beta=90.00 gamma=90.00
Space group Pm-3m (No. 221)
Symmetry-distinct sites (fractional):
Y 0.0000 0.0000 0.0000 [1 per cell]
Fe 0.0000 0.5000 0.5000 [3 per cell]
Pb 0.5000 0.5000 0.5000 [1 per cell]